A geometry-optimized Ga2BH structure. Source: the Alexandria database, functional PBE.

a = 5.5498 Å, b = 5.5498 Å, c = 5.5498 Å
α = 90.00°, β = 90.00°, γ = 90.00°
Space group Fm-3m (No. 225)
Asymmetric unit:
1 Ga 0.2500 0.2500 0.2500 (multiplicity 8)
2 B 0.0000 0.0000 0.0000 (multiplicity 4)
3 H 0.0000 0.0000 0.5000 (multiplicity 4)

Size of the total moment = 0.0 μB/f.u.
Relative energy among the computed polymorphs = 246 meV per atom